Crystalline Be2RuCl at its relaxed geometry, computed with PBE.

Properties
- relative energy among the computed polymorphs (eV/f.u.) = 0.04
- magnetization (Bohr magnetons per cell) = 0.00
- density of states at the Fermi level (states/eV per cell) = 1.90
- energy relative to the elements, uncorrected (eV/atom) = -0.040

abc: 2.990 3.047 5.764
angles: 77.49 90.00 90.00
Positions (direct):
Ru 0.500 0.750 0.750
Be 0.000 0.183 0.937
Be 0.000 0.317 0.563
Cl 0.500 0.250 0.250